GGA-PBE TbYTlIr, relaxed; uncorrected energy = -24.3 eV per cell; energy above the most stable polymorph in this dataset = 0.471 eV per formula unit; energy of formation from the pure elements = -0.482 eV/atom
1.0
5.113 0.000 0.000
2.557 4.428 0.000
2.557 1.476 4.175
Y Tb Tl Ir
1 1 1 1
direct
0.750 0.750 0.750
0.250 0.250 0.250
0.000 0.000 0.000
0.500 0.500 0.500